(1)
10
Lattice="-4.070 2.774 2.736 4.070 -2.774 2.736 4.070 2.774 -2.736" Properties=species:S:1:pos:R:3 comment="Li3PH (PBE, optimized geometry)" crystal_system=orthorhombic e_tot_ev_per_atom=-3.184 relative_energy_ev_per_atom=0.155 pbc="T T T"
Li 0.035 1.348 0.000
Li 4.035 1.348 0.000
Li 2.035 2.730 1.383
Li 0.035 1.426 2.736
Li 4.035 1.426 2.736
Li -2.035 2.818 1.383
P 6.105 -0.140 1.257
P 2.035 0.140 1.257
H 2.035 -0.942 2.253
H 2.035 3.716 -0.483


(2)
10
Lattice="-2.301 3.227 11.352 2.301 -3.227 11.352 2.301 3.227 -11.352" Properties=species:S:1:pos:R:3 comment="Nd5Bi4Br (PBE, optimized geometry)" crystal_system=orthorhombic e_tot_ev_per_atom=-5.090 e_form_raw_kj_per_mol_fu=-952.0 pbc="T T T"
Nd 0.000 0.000 0.000
Nd 0.000 0.000 4.540
Nd 0.000 0.000 9.020
Nd 0.000 0.000 13.685
Nd 0.000 0.000 18.165
Bi 2.301 0.000 2.245
Bi 2.301 0.000 6.838
Bi 0.000 3.227 4.514
Bi 0.000 3.227 9.107
Br 0.000 3.227 0.000


(3)
4
Lattice="-1.809 1.809 4.551 1.809 -1.809 4.551 1.809 1.809 -4.551" Properties=species:S:1:pos:R:3 comment="AlRu2Cl (PBE, optimized geometry)" crystal_system=tetragonal e_tot_ev_per_atom=-5.483 e_form_raw_kj_per_mol_fu=213.1 relative_energy_ev_per_atom=0.658 pbc="T T T"
Al 0.000 0.000 0.000
Ru 0.000 0.000 4.551
Ru 0.000 1.809 2.276
Cl 1.809 0.000 2.276